# 1
A geometry-optimized CuH8Ir2 structure. Source: Alexandria via LeMat-Bulk, functional PBE.

Calculated values
- Calculated volume: 102 Å³/f.u.
- DOS(E_F): 1.16 states/eV/f.u.
- Symmetry: C2/m, No. 12
- Uncorrected energy: -46.5 eV/cell

a b c (Å): 4.3933 4.7864 5.5460
angles (deg): 98.21 90.00 117.32
Element x y z (fractional)
Cu1 0.0000 0.0000 0.0000
H1 0.8887 0.2937 0.2006
H2 0.4051 0.2937 0.2006
H3 0.1113 0.7063 0.7994
H4 0.3386 0.6772 0.3355
H5 0.5949 0.7063 0.7994
H6 0.9549 0.9099 0.3303
H7 0.0451 0.0901 0.6697
H8 0.6614 0.3228 0.6645
Ir1 0.8348 0.6696 0.5868
Ir2 0.1652 0.3304 0.4132

***

# 2
A geometry-optimized Cu2HIr2 structure. Source: Alexandria via LeMat-Bulk, functional PBE.

Calculated values
- Calculated volume: 74 Å³/f.u.
- DOS(E_F): 5.67 states/eV/f.u.
- Symmetry: P4/mbm, No. 127
- Uncorrected energy: -49.2 eV/cell
- E above lowest polymorph: 0 meV per atom

a b c (Å): 7.6289 7.6289 2.5317
angles (deg): 90.00 90.00 90.00
Element x y z (fractional)
H1 0.0000 0.0000 0.0000
H2 0.5000 0.5000 0.0000
Ir1 0.1225 0.6225 0.5000
Ir2 0.6225 0.8775 0.5000
Ir3 0.8775 0.3775 0.5000
Ir4 0.3775 0.1225 0.5000
Cu1 0.3244 0.8244 0.0000
Cu2 0.8244 0.6756 0.0000
Cu3 0.6756 0.1756 0.0000
Cu4 0.1756 0.3244 0.0000

***

# 3
A geometry-optimized CuHIr3 structure. Source: Alexandria via LeMat-Bulk, functional PBE.

Calculated values
- Calculated volume: 59 Å³/f.u.
- DOS(E_F): 7.23 states/eV/f.u.
- Symmetry: Pm-3m, No. 221
- Uncorrected energy: -32.6 eV/cell

a b c (Å): 3.9036 3.9036 3.9036
angles (deg): 90.00 90.00 90.00
Element x y z (fractional)
H1 0.0000 0.0000 0.0000
Ir1 0.0000 0.5000 0.0000
Ir2 0.0000 0.0000 0.5000
Ir3 0.5000 0.0000 0.0000
Cu1 0.5000 0.5000 0.5000

***

# 4
A geometry-optimized CuHIr structure. Source: Alexandria via LeMat-Bulk, functional PBE.

Calculated values
- Calculated volume: 30 Å³/f.u.
- DOS(E_F): 2.05 states/eV/f.u.
- Symmetry: Pnma, No. 62
- Uncorrected energy: -62.5 eV/cell

a b c (Å): 2.7518 4.5773 9.6734
angles (deg): 90.00 90.00 90.00
Element x y z (fractional)
H1 0.7500 0.7544 0.2155
H2 0.2500 0.2456 0.7845
H3 0.7500 0.7456 0.7155
H4 0.2500 0.2544 0.2845
Ir1 0.7500 0.0708 0.3844
Ir2 0.2500 0.5708 0.1156
Ir3 0.7500 0.4292 0.8844
Ir4 0.2500 0.9292 0.6156
Cu1 0.7500 0.4166 0.6058
Cu2 0.7500 0.0834 0.1058
Cu3 0.2500 0.5834 0.3942
Cu4 0.2500 0.9166 0.8942

***

# 5
A geometry-optimized CuH5Ir structure. Source: Alexandria via LeMat-Bulk, functional PBE.

Calculated values
- Calculated volume: 48 Å³/f.u.
- DOS(E_F): 0.99 states/eV/f.u.
- Symmetry: C2/c, No. 15
- Uncorrected energy: -55.4 eV/cell

a b c (Å): 4.5410 4.5410 6.0788
angles (deg): 86.77 115.04 120.59
Element x y z (fractional)
Cu1 0.5873 0.8373 0.2500
Cu2 0.4127 0.1627 0.7500
H1 0.9577 0.7629 0.2656
H2 0.3855 0.6538 0.4470
H3 0.5027 0.8079 0.7656
H4 0.9741 0.2241 0.2500
H5 0.2067 0.4384 0.0530
H6 0.7933 0.5616 0.9470
H7 0.0259 0.7759 0.7500
H8 0.4973 0.1921 0.2344
H9 0.6145 0.3462 0.5530
H10 0.0423 0.2371 0.7344
Ir1 0.0000 0.0000 0.0000
Ir2 0.0000 0.5000 0.5000

***

# 6
A geometry-optimized Cu2H4Ir structure. Source: Alexandria via LeMat-Bulk, functional PBE.

Calculated values
- Calculated volume: 57 Å³/f.u.
- DOS(E_F): 0.67 states/eV/f.u.
- Symmetry: Fmmm, No. 69
- Uncorrected energy: -29.9 eV/cell

a b c (Å): 4.8580 4.8580 3.7270
angles (deg): 112.61 112.61 114.22
Element x y z (fractional)
Cu1 0.6784 0.1784 0.3568
Cu2 0.1784 0.6784 0.3568
H1 0.4287 0.4287 0.3574
H2 0.1428 0.7145 0.8573
H3 0.9287 0.9287 0.3574
H4 0.7145 0.1429 0.8573
Ir1 0.9286 0.9287 0.8573

***

# 7
A geometry-optimized CuH2Ir structure. Source: Alexandria via LeMat-Bulk, functional PBE.

Calculated values
- Calculated volume: 36 Å³/f.u.
- DOS(E_F): 1.51 states/eV/f.u.
- Symmetry: R-3m, No. 166
- Uncorrected energy: -18.5 eV/cell
- E above lowest polymorph: 41 meV per atom

a b c (Å): 2.9260 2.9260 5.1590
angles (deg): 73.53 73.53 60.00
Element x y z (fractional)
H1 0.1151 0.1151 0.6546
H2 0.8849 0.8849 0.3454
Ir1 0.5000 0.5000 0.5000
Cu1 0.0000 0.0000 0.0000

***

# 8
A geometry-optimized CuH2Ir2 structure. Source: Alexandria via LeMat-Bulk, functional PBE.

Calculated values
- Calculated volume: 50 Å³/f.u.
- DOS(E_F): 4.20 states/eV/f.u.
- Symmetry: P4/mbm, No. 127
- Uncorrected energy: -54.8 eV/cell
- E above lowest polymorph: 0 meV per atom

a b c (Å): 5.2859 5.2859 3.5511
angles (deg): 90.00 90.00 90.00
Element x y z (fractional)
H1 0.1372 0.6372 0.0000
H2 0.6372 0.8628 0.0000
H3 0.8628 0.3628 0.0000
H4 0.3628 0.1372 0.0000
Ir1 0.1825 0.6825 0.5000
Ir2 0.6825 0.8175 0.5000
Ir3 0.8175 0.3175 0.5000
Ir4 0.3175 0.1825 0.5000
Cu1 0.0000 0.0000 0.0000
Cu2 0.5000 0.5000 0.0000

***

# 9
A geometry-optimized Cu2H6Ir structure. Source: Alexandria via LeMat-Bulk, functional PBE.

Calculated values
- Calculated volume: 77 Å³/f.u.
- DOS(E_F): 3.71 states/eV/f.u.
- Symmetry: P2_1/c, No. 14
- Uncorrected energy: -72.5 eV/cell

a b c (Å): 4.2006 5.5661 6.6199
angles (deg): 90.00 85.50 90.00
Element x y z (fractional)
Cu1 0.0109 0.7114 0.8167
Cu2 0.4891 0.2114 0.6833
Cu3 0.5109 0.7886 0.3167
Cu4 0.9891 0.2886 0.1833
H1 0.1919 0.0150 0.2631
H2 0.1597 0.2675 0.5648
H3 0.2479 0.2828 0.9224
H4 0.2521 0.7828 0.5776
H5 0.3403 0.7675 0.9352
H6 0.3081 0.5150 0.2369
H7 0.8081 0.9850 0.7369
H8 0.8403 0.7325 0.4352
H9 0.7521 0.7172 0.0776
H10 0.7479 0.2172 0.4224
H11 0.6597 0.2325 0.0648
H12 0.6919 0.4850 0.7631
Ir1 0.5000 0.5000 0.0000
Ir2 0.0000 0.0000 0.5000

***

# 10
A geometry-optimized CuH3Ir structure. Source: Alexandria via LeMat-Bulk, functional PBE.

Calculated values
- Calculated volume: 41 Å³/f.u.
- DOS(E_F): 0.97 states/eV/f.u.
- Symmetry: Pm-3m, No. 221
- Uncorrected energy: -21.8 eV/cell
- E above lowest polymorph: 68 meV per atom

a b c (Å): 3.4424 3.4424 3.4424
angles (deg): 90.00 90.00 90.00
Element x y z (fractional)
H1 0.0000 0.5000 0.0000
H2 0.0000 0.0000 0.5000
H3 0.5000 0.0000 0.0000
Ir1 0.0000 0.0000 0.0000
Cu1 0.5000 0.5000 0.5000

***

# 11
A geometry-optimized CuH3Ir structure. Source: Alexandria via LeMat-Bulk, functional PBE.

Calculated values
- Calculated volume: 42 Å³/f.u.
- DOS(E_F): 0.48 states/eV/f.u.
- Symmetry: P3, No. 143
- Uncorrected energy: -22.2 eV/cell
- E above lowest polymorph: 0 meV per atom

a b c (Å): 2.6731 4.2821 4.2855
angles (deg): 59.98 90.07 90.03
Element x y z (fractional)
Cu1 0.6189 0.4324 0.3957
H1 0.6204 0.4236 0.9089
H2 0.6214 0.9288 0.3860
H3 0.6198 0.9463 0.8914
Ir1 0.1203 0.0995 0.0621

***

# 12
A geometry-optimized Cu2HIr2 structure. Source: Alexandria via LeMat-Bulk, functional PBE.

Calculated values
- Calculated volume: 79 Å³/f.u.
- DOS(E_F): 5.63 states/eV/f.u.
- Symmetry: I4/mmm, No. 139
- Uncorrected energy: -23.9 eV/cell
- E above lowest polymorph: 132 meV per atom

a b c (Å): 3.5257 3.5257 6.7915
angles (deg): 74.96 74.96 90.00
Element x y z (fractional)
H1 0.0000 0.0000 0.0000
Ir1 0.7500 0.2500 0.5000
Ir2 0.2500 0.7500 0.5000
Cu1 0.4043 0.4043 0.1913
Cu2 0.5957 0.5957 0.8087

***

# 13
A geometry-optimized CuH2Ir structure. Source: Alexandria via LeMat-Bulk, functional PBE.

Calculated values
- Calculated volume: 35 Å³/f.u.
- DOS(E_F): 1.21 states/eV/f.u.
- Symmetry: I-42d, No. 122
- Uncorrected energy: -37.3 eV/cell
- E above lowest polymorph: 0 meV per atom

a b c (Å): 4.0467 4.0467 5.1252
angles (deg): 66.75 66.75 90.00
Element x y z (fractional)
H1 0.6312 0.1250 0.2500
H2 0.1188 0.6250 0.2500
H3 0.3750 0.3688 0.7500
H4 0.8750 0.8812 0.7500
Ir1 0.0000 0.0000 0.0000
Ir2 0.7500 0.2500 0.5000
Cu1 0.5000 0.5000 0.0000
Cu2 0.2500 0.7500 0.5000

***

# 14
A geometry-optimized CuH3Ir structure. Source: Alexandria via LeMat-Bulk, functional PBE.

Calculated values
- Calculated volume: 36 Å³/f.u.
- DOS(E_F): 1.99 states/eV/f.u.
- Symmetry: Pm-3m, No. 221
- Uncorrected energy: -19.6 eV/cell
- E above lowest polymorph: 511 meV per atom

a b c (Å): 3.3130 3.3130 3.3130
angles (deg): 90.00 90.00 90.00
Element x y z (fractional)
H1 0.0000 0.5000 0.0000
H2 0.0000 0.0000 0.5000
H3 0.5000 0.0000 0.0000
Ir1 0.5000 0.5000 0.5000
Cu1 0.0000 0.0000 0.0000

***

# 15
A geometry-optimized CuHIr2 structure. Source: Alexandria via LeMat-Bulk, functional PBE.

Calculated values
- Calculated volume: 47 Å³/f.u.
- DOS(E_F): 4.45 states/eV/f.u.
- Symmetry: Fm-3m, No. 225
- Uncorrected energy: -22.2 eV/cell
- E above lowest polymorph: 391 meV per atom

a b c (Å): 4.0485 4.0485 4.0485
angles (deg): 60.00 60.00 60.00
Element x y z (fractional)
H1 0.0000 0.0000 0.0000
Ir1 0.2500 0.2500 0.2500
Ir2 0.7500 0.7500 0.7500
Cu1 0.5000 0.5000 0.5000

***

# 16
A geometry-optimized CuH2Ir structure. Source: Alexandria via LeMat-Bulk, functional PBE.

Calculated values
- Calculated volume: 35 Å³/f.u.
- DOS(E_F): 1.04 states/eV/f.u.
- Symmetry: R3m, No. 160
- Uncorrected energy: -18.6 eV/cell
- E above lowest polymorph: 7 meV per atom

a b c (Å): 2.8508 2.8508 5.2184
angles (deg): 74.15 74.15 60.00
Element x y z (fractional)
Cu1 0.4912 0.4912 0.5264
H1 0.0662 0.0662 0.8015
H2 0.2731 0.2731 0.1806
Ir1 0.6695 0.6695 0.9915

***

# 17
A geometry-optimized Cu3HIr structure. Source: Alexandria via LeMat-Bulk, functional PBE.

Calculated values
- Calculated volume: 53 Å³/f.u.
- DOS(E_F): 2.95 states/eV/f.u.
- Symmetry: Pm-3m, No. 221
- Uncorrected energy: -23.3 eV/cell
- E above lowest polymorph: 0 meV per atom

a b c (Å): 3.7529 3.7529 3.7529
angles (deg): 90.00 90.00 90.00
Element x y z (fractional)
H1 0.0000 0.0000 0.0000
Ir1 0.5000 0.5000 0.5000
Cu1 0.0000 0.5000 0.0000
Cu2 0.0000 0.0000 0.5000
Cu3 0.5000 0.0000 0.0000

***

# 18
A geometry-optimized CuH6Ir structure. Source: Alexandria via LeMat-Bulk, functional PBE.

Calculated values
- Calculated volume: 70 Å³/f.u.
- Symmetry: C2/m, No. 12
- Uncorrected energy: -31.8 eV/cell

a b c (Å): 5.0452 2.9663 5.5312
angles (deg): 105.50 117.10 90.12
Element x y z (fractional)
Cu1 0.0000 0.0000 0.0000
H1 0.8476 0.1419 0.2828
H2 0.5648 0.8592 0.7172
H3 0.4352 0.1408 0.2828
H4 0.1524 0.8581 0.7172
H5 0.2928 0.4993 0.0000
H6 0.7072 0.5007 0.0000
Ir1 0.5000 0.0000 0.0000

***

# 19
A geometry-optimized Cu2H3Ir structure. Source: Alexandria via LeMat-Bulk, functional PBE.

Calculated values
- Calculated volume: 48 Å³/f.u.
- DOS(E_F): 1.23 states/eV/f.u.
- Symmetry: P-1, No. 2
- Uncorrected energy: -52.7 eV/cell

a b c (Å): 5.0566 3.7329 5.7326
angles (deg): 89.68 73.10 111.42
Element x y z (fractional)
Cu1 0.3617 0.6809 0.4100
Cu2 0.3617 0.6809 0.9100
Cu3 0.6383 0.3191 0.0900
Cu4 0.6383 0.3191 0.5900
H1 0.7388 0.8685 0.5679
H2 0.2612 0.1315 0.4321
H3 0.0000 0.5000 0.7500
H4 0.2612 0.1315 0.9321
H5 0.7388 0.8685 0.0679
H6 0.0000 0.5000 0.2500
Ir1 0.0000 0.0000 0.2500
Ir2 0.0000 0.0000 0.7500

***

# 20
A geometry-optimized Cu3HIr structure. Source: Alexandria via LeMat-Bulk, functional PBE.

Calculated values
- Calculated volume: 105 Å³/f.u.
- DOS(E_F): 6.50 states/eV/f.u.
- Symmetry: Pm-3m, No. 221
- Uncorrected energy: -16.6 eV/cell
- E above lowest polymorph: 1348 meV per atom

a b c (Å): 4.7106 4.7106 4.7106
angles (deg): 90.00 90.00 90.00
Element x y z (fractional)
H1 0.5000 0.5000 0.5000
Ir1 0.0000 0.0000 0.0000
Cu1 0.0000 0.5000 0.0000
Cu2 0.0000 0.0000 0.5000
Cu3 0.5000 0.0000 0.0000

***

# 21
A geometry-optimized CuHIr2 structure. Source: Alexandria via LeMat-Bulk, functional PBE.

Calculated values
- Calculated volume: 46 Å³/f.u.
- DOS(E_F): 2.56 states/eV/f.u.
- Symmetry: I-42d, No. 122
- Uncorrected energy: -47.6 eV/cell
- E above lowest polymorph: 0 meV per atom

a b c (Å): 6.0642 6.0642 4.9514
angles (deg): 52.24 52.24 90.00
Element x y z (fractional)
H1 0.5000 0.5000 0.0000
H2 0.2500 0.7500 0.5000
Ir1 0.5315 0.1250 0.2500
Ir2 0.2185 0.6250 0.2500
Ir3 0.3750 0.4685 0.7500
Ir4 0.8750 0.7815 0.7500
Cu1 0.0000 0.0000 0.0000
Cu2 0.7500 0.2500 0.5000

***

# 22
A geometry-optimized CuH2Ir2 structure. Source: Alexandria via LeMat-Bulk, functional PBE.

Calculated values
- Calculated volume: 48 Å³/f.u.
- DOS(E_F): 5.31 states/eV/f.u.
- Symmetry: I4/mmm, No. 139
- Uncorrected energy: -26.9 eV/cell
- E above lowest polymorph: 96 meV per atom

a b c (Å): 3.0186 3.0186 5.6835
angles (deg): 74.60 74.60 90.00
Element x y z (fractional)
H1 0.7500 0.2500 0.5000
H2 0.2500 0.7500 0.5000
Ir1 0.3593 0.3593 0.2815
Ir2 0.6407 0.6407 0.7185
Cu1 0.0000 0.0000 0.0000

***

# 23
A geometry-optimized K2CuH6Ir structure. Source: Alexandria via LeMat-Bulk, functional PBE.

Calculated values
- Calculated volume: 143 Å³/f.u.
- DOS(E_F): 0.00 states/eV/f.u.
- Symmetry: P-3m1, No. 164
- Uncorrected energy: -38.3 eV/cell

a b c (Å): 4.9998 5.7477 5.7477
angles (deg): 120.00 90.00 90.00
Element x y z (fractional)
K1 0.2292 0.3333 0.6667
K2 0.7708 0.6667 0.3333
Cu1 0.5000 0.0000 0.0000
H1 0.7953 0.1364 0.2728
H2 0.7953 0.1364 0.8636
H3 0.7953 0.7272 0.8636
H4 0.2047 0.8636 0.1364
H5 0.2047 0.2728 0.1364
H6 0.2047 0.8636 0.7272
Ir1 0.0000 0.0000 0.0000

***

# 24
A geometry-optimized La2CuHIr structure. Source: Alexandria via LeMat-Bulk, functional PBE.

Calculated values
- Calculated volume: 96 Å³/f.u.
- DOS(E_F): 3.58 states/eV/f.u.
- Symmetry: P4/mmm, No. 123
- Uncorrected energy: -28.3 eV/cell
- E above lowest polymorph: 0 meV per atom

a b c (Å): 5.0716 5.0716 3.7408
angles (deg): 90.00 90.00 90.00
Element x y z (fractional)
H1 0.0000 0.0000 0.0000
Ir1 0.5000 0.5000 0.5000
Cu1 0.0000 0.0000 0.5000
La1 0.0000 0.5000 0.0000
La2 0.5000 0.0000 0.0000

***

# 25
A geometry-optimized LaCu2H8Ir structure. Source: Alexandria via LeMat-Bulk, functional PBE.

Calculated values
- Calculated volume: 112 Å³/f.u.
- DOS(E_F): 0.35 states/eV/f.u.
- Symmetry: P-1, No. 2
- Uncorrected energy: -52.0 eV/cell

a b c (Å): 4.6725 4.6736 6.9198
angles (deg): 47.58 88.79 90.06
Element x y z (fractional)
La1 0.0000 0.0000 0.5000
Cu1 0.4967 0.2628 0.7363
Cu2 0.5033 0.7372 0.2637
H1 0.1224 0.6909 0.3094
H2 0.7664 0.6512 0.0866
H3 0.7606 0.1696 0.0875
H4 0.8776 0.3091 0.6906
H5 0.2336 0.3488 0.9134
H6 0.2394 0.8304 0.9125
H7 0.4998 0.7704 0.5014
H8 0.5002 0.2296 0.4986
Ir1 0.0000 0.0000 0.0000